# 1
A plane-wave DFT calculation with GGA-PBE was carried out for an optimized crystal structure of Re2PW.

Values from the calculation:
Energy = -10.881 eV/atom
ΔE_f = -0.27 eV/f.u.
Total moment = 0.0 μB per cell
Calculated volume = 57.33 Å³/f.u.

abc: 2.9167 4.4253 8.8828
angles: 90.00 90.00 90.00
Last column: nearest neighbours and their distance in Å.
Space group Immm (No. 71)
Inequivalent atoms, fractional coordinates:
Re  0.0000  0.0000  0.2158 [4 per cell]  2 P 2.41
P  0.0000  0.5000  0.5000 [2 per cell]  4 Re 2.41, 4 W 2.65
W  0.0000  0.5000  0.0000 [2 per cell]  4 P 2.65, 8 Re 2.92-2.93, 2 W 2.92

***

# 2
A plane-wave DFT calculation with GGA-PBE was carried out for an optimized crystal structure of YReP2.

Values from the calculation:
Energy = -7.096 eV/atom
ΔE_f = 1.35 eV/f.u.
Total moment = 0.0 μB per cell
Calculated volume = 67.51 Å³/f.u.
Energy above the most stable polymorph in this dataset = 1039 meV/atom

abc: 6.4637 6.4637 6.4637
angles: 90.00 90.00 90.00
Last column: nearest neighbours and their distance in Å.
Space group F-43m (No. 216)
Inequivalent atoms, fractional coordinates:
Y  0.0000  0.0000  0.0000 [4 per cell]  4 Re 2.80, 4 P 2.80
Re  0.2500  0.2500  0.7500 [4 per cell]  4 Y 2.80, 4 P 2.80
P  0.0000  0.0000  0.5000 [4 per cell]  4 Re 2.80, 4 P 2.80
P  0.2500  0.2500  0.2500 [4 per cell]  4 Y 2.80, 4 P 2.80

***

# 3
A plane-wave DFT calculation with GGA-PBE was carried out for an optimized crystal structure of YReP.

Values from the calculation:
Energy = -8.505 eV/atom
ΔE_f = -1.19 eV/f.u.
Total moment = 0.0 μB per cell
Calculated volume = 65.49 Å³/f.u.
Energy above the most stable polymorph in this dataset = 70 meV/atom

abc: 16.4306 3.9756 8.0272
angles: 90.00 92.26 90.00
Last column: nearest neighbours and their distance in Å.
Space group C2/m (No. 12)
Inequivalent atoms, fractional coordinates:
Y  0.0600  0.0000  0.3284 [4 per cell]  2 P 2.63-2.82
Y  0.1031  0.5000  0.8834 [4 per cell]  4 P 2.93-3.07, 3 Re 3.11-3.12
Re  0.2479  0.0000  0.8630 [4 per cell]  4 P 2.35-2.37
Re  0.2502  0.0000  0.3876 [4 per cell]  4 P 2.44-2.48, 2 Re 2.69
P  0.1603  0.0000  0.6218 [4 per cell]  4 Re 2.37-2.48
P  0.1762  0.0000  0.1122 [4 per cell]  4 Re 2.35-2.48, 1 Y 2.63

***

# 4
A plane-wave DFT calculation with GGA-PBE was carried out for an optimized crystal structure of YReP2.

Values from the calculation:
Energy = -8.012 eV/atom
ΔE_f = -2.31 eV/f.u.
Total moment = 0.0 μB per cell
Calculated volume = 73.11 Å³/f.u.
Energy above the most stable polymorph in this dataset = 123 meV/atom

abc: 3.7270 4.0348 4.8618
angles: 90.00 90.00 90.00
Last column: nearest neighbours and their distance in Å.
Space group Pmmm (No. 47)
Inequivalent atoms, fractional coordinates:
Y  0.0000  0.0000  0.0000 [1 per cell]  8 P 2.97, 4 Re 3.06
Re  0.5000  0.0000  0.5000 [1 per cell]  4 P 2.41
P  0.5000  0.5000  0.2300 [2 per cell]  1 P 2.24, 2 Re 2.41

***

# 5
A plane-wave DFT calculation with GGA-PBE was carried out for an optimized crystal structure of YReP2.

Values from the calculation:
Energy = -8.057 eV/atom
ΔE_f = -2.50 eV/f.u.
Total moment = 0.0 μB per cell
Calculated volume = 70.34 Å³/f.u.
Energy above the most stable polymorph in this dataset = 78 meV/atom

abc: 3.2059 3.4674 12.6554
angles: 90.00 90.00 90.00
Last column: nearest neighbours and their distance in Å.
Space group Imm2 (No. 44)
Inequivalent atoms, fractional coordinates:
Y  0.0000  0.0000  0.0000 [2 per cell]  6 P 2.75-2.77
Re  0.0000  0.5000  0.2523 [2 per cell]  6 P 2.40-2.55
P  0.0000  0.0000  0.6114 [2 per cell]  2 Re 2.40
P  0.0000  0.5000  0.8290 [2 per cell]  4 Re 2.55, 2 Y 2.77

***

# 6
A plane-wave DFT calculation with GGA-PBE was carried out for an optimized crystal structure of YRe2P.

Values from the calculation:
Energy = -8.793 eV/atom
ΔE_f = 1.60 eV/f.u.
Total moment = 0.0 μB per cell
Calculated volume = 68.02 Å³/f.u.

abc: 6.4797 6.4797 6.4797
angles: 90.00 90.00 90.00
Last column: nearest neighbours and their distance in Å.
Space group F-43m (No. 216)
Inequivalent atoms, fractional coordinates:
Y  0.0000  0.0000  0.0000 [4 per cell]  4 Re 2.81, 4 P 2.81
Re  0.0000  0.0000  0.5000 [4 per cell]  4 Re 2.81, 4 P 2.81
Re  0.2500  0.2500  0.2500 [4 per cell]  4 Re 2.81, 4 Y 2.81
P  0.2500  0.2500  0.7500 [4 per cell]  4 Re 2.81, 4 Y 2.81

***

# 7
A plane-wave DFT calculation with GGA-PBE was carried out for an optimized crystal structure of YRe2P.

Values from the calculation:
Energy = -8.847 eV/atom
ΔE_f = 1.38 eV/f.u.
Total moment = 0.0 μB per cell
Calculated volume = 67.98 Å³/f.u.

abc: 3.2795 4.9964 8.2973
angles: 90.00 90.00 90.00
Last column: nearest neighbours and their distance in Å.
Space group Cmmm (No. 65)
Inequivalent atoms, fractional coordinates:
Y  0.0000  0.0000  0.0000 [2 per cell]  4 Re 2.96, 6 Y 2.99-3.28
Re  0.0000  0.5000  0.2973 [4 per cell]  2 P 2.35
P  0.0000  0.0000  0.5000 [2 per cell]  4 Re 2.35

***

# 8
A plane-wave DFT calculation with GGA-PBE was carried out for an optimized crystal structure of YRe2P.

Values from the calculation:
Energy = -8.890 eV/atom
ΔE_f = 1.21 eV/f.u.
Total moment = 0.0 μB per cell
Calculated volume = 70.15 Å³/f.u.

abc: 3.2061 3.2061 23.6398
angles: 90.00 90.00 120.00
Last column: nearest neighbours and their distance in Å.
Space group R-3m (No. 166, hexagonal axes)
Inequivalent atoms, fractional coordinates:
Y  0.0000  0.0000  0.0000 [3 per cell]  6 Re 3.02, 6 Y 3.21
Re  0.0000  0.0000  0.2327 [6 per cell]  3 P 2.42
P  0.0000  0.0000  0.5000 [3 per cell]  6 Re 2.42